Entry 1:
# Na2InF

A relaxed structure of Na2InF (PBE, the Alexandria database).

Cell lengths 3.0691, 3.0691, 8.1686 Å; angles 90.00, 90.00, 90.00 degrees
Positions (direct):
Na 0.0000 0.0000 0.8280
Na 0.0000 0.0000 0.1720
F 0.5000 0.5000 0.0000
In 0.5000 0.5000 0.5000

DFT total energy: -3.07 eV/atom
crystal system: tetragonal
energy relative to the elements, uncorrected: -1.260 eV/atom
total magnetization: 0.00 μB/f.u.



Entry 2:
# La2CrW

A relaxed structure of La2CrW (PBE, the Alexandria database).

Cell lengths 5.1072, 5.1072, 3.7991 Å; angles 90.00, 90.00, 90.00 degrees
Each line ends with the local moment (μB).
Positions (direct):
Cr 0.0000 0.5000 0.5000  -3.38
La 0.0000 0.0000 0.0000  -0.02
La 0.5000 0.5000 0.0000  -0.02
W 0.5000 0.0000 0.5000  -0.88

DFT total energy: -7.33 eV/atom
crystal system: tetragonal
total magnetization: 4.84 μB/f.u.
ΔE_f: 0.77 eV per atom



Entry 3:
# BaLa2Ni

A relaxed structure of BaLa2Ni (PBE, the Alexandria database).

Cell lengths 4.1940, 4.1940, 10.3051 Å; angles 78.26, 78.26, 60.00 degrees
Positions (direct):
Ba 0.5014 0.5014 0.4958
La 0.0496 0.0496 0.8513
La 0.2831 0.2831 0.1506
Ni 0.6659 0.6659 0.0023

DFT total energy: -4.49 eV/atom
crystal system: trigonal
total magnetization: 0.00 μB/f.u.
ΔE_f: -0.10 eV per atom



Entry 4:
# Ac2Pr3Er

A relaxed structure of Ac2Pr3Er (PBE, the Alexandria database).

Cell lengths 5.3530, 11.8783, 8.4288 Å; angles 114.88, 108.57, 89.98 degrees
Positions (direct):
Ac 0.5364 0.8699 0.0729
Ac 0.4636 0.1301 0.9271
Ac 0.2086 0.8703 0.4174
Ac 0.7914 0.1297 0.5826
Pr 0.0463 0.3811 0.0923
Pr 0.9537 0.6189 0.9077
Pr 0.7089 0.3773 0.4180
Pr 0.2911 0.6227 0.5820
Pr 0.6252 0.6214 0.2504
Pr 0.3748 0.3786 0.7496
Er 0.1253 0.1286 0.2506
Er 0.8747 0.8714 0.7494

DFT total energy: -4.49 eV/atom
crystal system: triclinic
total magnetization: 0.00 μB/f.u.
ΔE_f: 0.03 eV per atom



Entry 5:
# ZrGeCl2O

A relaxed structure of ZrGeCl2O (PBE, the Alexandria database).

Cell lengths 5.4001, 3.6497, 5.4001 Å; angles 90.00, 90.00, 90.00 degrees
Each line ends with the local moment (μB).
Positions (direct):
Ge 0.0000 0.0000 0.0000  -0.01
O 0.0000 0.5000 0.0000  0.00
Zr 0.5000 0.5000 0.5000  1.21
Cl 0.0000 0.0000 0.5000  -0.01
Cl 0.5000 0.0000 0.0000  -0.02

DFT total energy: -4.68 eV/atom
crystal system: tetragonal
energy relative to the elements, uncorrected: -0.315 eV/atom
total magnetization: 1.78 μB/f.u.



Entry 6:
# BeAl2As

A relaxed structure of BeAl2As (PBE, the Alexandria database).

Cell lengths 6.0121, 6.0121, 6.4093 Å; angles 62.03, 62.03, 90.00 degrees
Positions (direct):
Be 0.5000 0.5000 0.0000
Be 0.2500 0.7500 0.5000
As 0.0000 0.0000 0.0000
As 0.7500 0.2500 0.5000
Al 0.6148 0.1250 0.2500
Al 0.1352 0.6250 0.2500
Al 0.3750 0.3852 0.7500
Al 0.8750 0.8648 0.7500

DFT total energy: -3.56 eV/atom
crystal system: tetragonal
total magnetization: 0.00 μB/f.u.
ΔE_f: 0.41 eV per atom



Entry 7:
# CaAgAs

A relaxed structure of CaAgAs (PBE, the Alexandria database).

Cell lengths 4.2934, 4.2926, 7.2756 Å; angles 90.00, 90.00, 89.99 degrees
Positions (direct):
Ca 0.1956 0.3098 0.6926
Ca 0.6956 0.8098 0.3490
As 0.1955 0.3098 0.2767
As 0.6956 0.8098 0.7649
Ag 0.6956 0.3098 0.0208
Ag 0.1956 0.8098 0.0208

DFT total energy: -3.90 eV/atom
crystal system: tetragonal
total magnetization: 0.00 μB/f.u.
ΔE_f: -0.73 eV per atom



Entry 8:
# Er3Ga6Au5

A relaxed structure of Er3Ga6Au5 (PBE, the Alexandria database).

Cell lengths 4.3359, 9.7455, 12.8185 Å; angles 90.00, 90.00, 90.00 degrees
Positions (direct):
Er 0.0000 0.2523 0.6999
Er 0.5000 0.7477 0.1999
Er 0.5000 0.7477 0.8001
Er 0.0000 0.2524 0.0000
Er 0.5000 0.7476 0.5000
Er 0.0000 0.2523 0.3001
Ga 0.0000 0.9720 0.8488
Ga 0.5000 0.0280 0.6512
Ga 0.5000 0.3861 0.8331
Ga 0.5000 0.5584 0.0000
Ga 0.0000 0.4416 0.5000
Ga 0.0000 0.6139 0.6669
Ga 0.0000 0.6139 0.3331
Ga 0.5000 0.9391 0.0000
Ga 0.0000 0.9720 0.1512
Ga 0.5000 0.3861 0.1669
Ga 0.0000 0.0609 0.5000
Ga 0.5000 0.0280 0.3488
Au 0.0000 0.5260 0.8648
Au 0.0000 0.8755 0.6497
Au 0.0000 0.7695 0.0000
Au 0.5000 0.4740 0.6352
Au 0.5000 0.2305 0.5000
Au 0.0000 0.5260 0.1352
Au 0.5000 0.4740 0.3648
Au 0.0000 0.8754 0.3503
Au 0.5000 0.1245 0.8503
Au 0.5000 0.1245 0.1497

DFT total energy: -4.05 eV/atom
crystal system: orthorhombic
total magnetization: 0.00 μB/f.u.
ΔE_f: -0.60 eV per atom



Entry 9:
# CsCd5

A relaxed structure of CsCd5 (PBE, the Alexandria database).

Cell lengths 4.9964, 4.9981, 9.0300 Å; angles 90.01, 90.00, 119.99 degrees
Positions (direct):
Cs 0.5000 0.0000 0.5000
Cd 0.1653 0.3305 0.1739
Cd 0.5000 0.0000 0.0000
Cd 0.8347 0.6695 0.8261
Cd 0.8320 0.6640 0.1736
Cd 0.1680 0.3360 0.8264

DFT total energy: -0.94 eV/atom
crystal system: monoclinic
total magnetization: 0.00 μB/f.u.
ΔE_f: -0.04 eV per atom



Entry 10:
# CoSi2Sb

A relaxed structure of CoSi2Sb (PBE, the Alexandria database).

Cell lengths 3.1442, 2.9207, 7.2804 Å; angles 90.00, 90.00, 90.00 degrees
Positions (direct):
Co 0.0000 0.0000 0.4357
Sb 0.5000 0.5000 0.6901
Si 0.0000 0.0000 0.0880
Si 0.5000 0.5000 0.2862

DFT total energy: -5.38 eV/atom
crystal system: orthorhombic
energy relative to the elements, uncorrected: 0.138 eV/atom
total magnetization: 0.00 μB/f.u.



Entry 11:
# Tm2ZnC

A relaxed structure of Tm2ZnC (PBE, the Alexandria database).

Cell lengths 3.6570, 6.3473, 6.5505 Å; angles 90.00, 106.21, 90.00 degrees
Positions (direct):
Tm 0.6446 0.9986 0.2892
Tm 0.3554 0.4986 0.7108
Tm 0.6446 0.5014 0.2892
Tm 0.3554 0.0014 0.7108
Zn 0.0075 0.7500 0.0151
Zn 0.9925 0.2500 0.9849
C 0.1921 0.7500 0.3841
C 0.8079 0.2500 0.6159

DFT total energy: -5.13 eV/atom
crystal system: orthorhombic
total magnetization: 0.00 μB/f.u.
ΔE_f: -0.27 eV per atom



Entry 12:
# CsSrP

A relaxed structure of CsSrP (PBE, the Alexandria database).

Cell lengths 4.4273, 8.9397, 8.3200 Å; angles 117.61, 90.00, 104.41 degrees
Positions (direct):
Cs 0.2619 0.5356 0.6066
Cs 0.7794 0.5687 0.1225
Sr 0.5208 0.0520 0.6060
Sr 0.5210 0.0523 0.0425
P 0.9446 0.9008 0.7456
P 0.0972 0.2036 0.8963

DFT total energy: -3.15 eV/atom
crystal system: triclinic
total magnetization: 0.00 μB/f.u.
ΔE_f: -0.50 eV per atom



Entry 13:
# SrSi

A relaxed structure of SrSi (PBE, the Alexandria database).

Cell lengths 4.0455, 6.1420, 8.8976 Å; angles 90.00, 90.00, 90.00 degrees
Positions (direct):
Si 0.7500 0.3924 0.0322
Si 0.2500 0.8924 0.4678
Si 0.2500 0.6076 0.9678
Si 0.7500 0.1076 0.5322
Sr 0.7500 0.8917 0.1806
Sr 0.2500 0.3917 0.3194
Sr 0.2500 0.1083 0.8194
Sr 0.7500 0.6083 0.6806

DFT total energy: -4.02 eV/atom
crystal system: orthorhombic
energy relative to the elements, uncorrected: -0.465 eV/atom
total magnetization: 0.00 μB/f.u.



Entry 14:
# Sc2AgOsC

A relaxed structure of Sc2AgOsC (PBE, the Alexandria database).

Cell lengths 4.6144, 4.6144, 3.8891 Å; angles 90.00, 90.00, 90.00 degrees
Positions (direct):
Sc 0.0000 0.5000 0.0000
Sc 0.5000 0.0000 0.0000
C 0.0000 0.0000 0.0000
Os 0.0000 0.0000 0.5000
Ag 0.5000 0.5000 0.5000

DFT total energy: -7.58 eV/atom
crystal system: tetragonal
total magnetization: 0.00 μB/f.u.
ΔE_f: -0.39 eV per atom



Entry 15:
# Cu4GeAu

A relaxed structure of Cu4GeAu (PBE, the Alexandria database).

Cell lengths 4.6422, 4.4617, 8.6637 Å; angles 105.04, 105.54, 90.00 degrees
Positions (direct):
Cu 0.6032 0.1600 0.8194
Cu 0.7837 0.3400 0.1806
Cu 0.3968 0.8400 0.1806
Cu 0.2163 0.6600 0.8194
Cu 0.0390 0.0833 0.6660
Cu 0.3730 0.4167 0.3340
Cu 0.9610 0.9167 0.3340
Cu 0.6270 0.5833 0.6660
Ge 0.5000 0.0000 0.5000
Ge 0.0000 0.5000 0.5000
Au 0.7964 0.7500 0.0000
Au 0.2036 0.2500 0.0000

DFT total energy: -4.03 eV/atom
crystal system: monoclinic
total magnetization: 0.00 μB/f.u.
ΔE_f: 0.02 eV per atom



Entry 16:
# Ba2Hg4Pb

A relaxed structure of Ba2Hg4Pb (PBE, the Alexandria database).

Cell lengths 6.0804, 6.0804, 10.2899 Å; angles 115.37, 115.37, 63.23 degrees
Positions (direct):
Pb 0.0000 0.0000 0.0000
Ba 0.6152 0.6152 0.2304
Ba 0.3848 0.3848 0.7696
Hg 0.8074 0.8074 0.6149
Hg 0.1926 0.1926 0.3851
Hg 0.0000 0.5000 0.0000
Hg 0.5000 0.0000 0.0000

DFT total energy: -1.51 eV/atom
crystal system: orthorhombic
total magnetization: 0.00 μB/f.u.
ΔE_f: -0.26 eV per atom



Entry 17:
# TcAsI2N

A relaxed structure of TcAsI2N (PBE, the Alexandria database).

Cell lengths 5.9731, 5.9731, 3.6730 Å; angles 90.00, 90.00, 90.00 degrees
Each line ends with the local moment (μB).
Positions (direct):
I 0.0000 0.5000 0.0000  0.07
I 0.5000 0.0000 0.0000  0.07
As 0.0000 0.0000 0.0000  0.00
Tc 0.5000 0.5000 0.5000  3.65
N 0.0000 0.0000 0.5000  0.02

DFT total energy: -4.02 eV/atom
crystal system: tetragonal
energy relative to the elements, uncorrected: 1.264 eV/atom
total magnetization: 4.41 μB/f.u.



Entry 18:
# Sr2Co

A relaxed structure of Sr2Co (PBE, the Alexandria database).

Cell lengths 7.2984, 7.2984, 7.4227 Å; angles 90.00, 90.00, 148.93 degrees
Each line ends with the local moment (μB).
Positions (direct):
Sr 0.5133 0.4867 0.7094  -0.04
Sr 0.4867 0.5133 0.2094  -0.04
Sr 0.7720 0.2280 0.5338  -0.06
Sr 0.2280 0.7720 0.0338  -0.06
Co 0.8851 0.1149 0.9251  1.29
Co 0.1149 0.8851 0.4251  1.29

DFT total energy: -3.05 eV/atom
crystal system: orthorhombic
total magnetization: 0.90 μB/f.u.
ΔE_f: 0.44 eV per atom



Entry 19:
# Sm3Zn2Ni4

A relaxed structure of Sm3Zn2Ni4 (PBE, the Alexandria database).

Cell lengths 4.1560, 5.3156, 8.3030 Å; angles 97.84, 90.00, 113.01 degrees
Positions (direct):
Sm 0.3752 0.7503 0.6226
Sm 0.0000 0.0000 0.0000
Sm 0.6248 0.2497 0.3774
Zn 0.3198 0.6395 0.2198
Zn 0.6802 0.3605 0.7802
Ni 0.7325 0.4650 0.0836
Ni 0.0829 0.1657 0.6338
Ni 0.9171 0.8343 0.3662
Ni 0.2675 0.5350 0.9164

DFT total energy: -4.82 eV/atom
crystal system: monoclinic
total magnetization: 0.00 μB/f.u.
ΔE_f: -0.40 eV per atom



Entry 20:
# YGe2Rh

A relaxed structure of YGe2Rh (PBE, the Alexandria database).

Cell lengths 4.1832, 4.2164, 5.5003 Å; angles 67.17, 67.65, 60.26 degrees
Positions (direct):
Y 0.5000 0.0000 0.0000
Ge 0.7210 0.2192 0.3387
Ge 0.2790 0.7808 0.6613
Rh 0.0000 0.5000 0.5000

DFT total energy: -6.54 eV/atom
crystal system: monoclinic
total magnetization: 0.00 μB/f.u.
ΔE_f: -0.78 eV per atom